# 1
YNb2Al after structural relaxation. Source: OQMD, functional GGA-PBE.

a = 3.959 Å, b = 3.959 Å, c = 5.592 Å
α = 90.00°, β = 90.00°, γ = 90.00°
Element x y z (fractional)
Al (0.000, 0.000, 0.500)
Y (0.500, 0.500, 0.000)
Nb (0.500, 0.500, 0.500)
Nb (0.000, 0.000, 0.000)

Output
Final energy (eV per formula unit): -26.49
SG: P4/mmm
Crystal system: tetragonal
Calculated density (Mg/m³): 5.72

# 2
BaNaHfAu after structural relaxation. Source: OQMD, functional GGA-PBE.

a = 5.178 Å, b = 5.178 Å, c = 5.178 Å
α = 60.00°, β = 60.00°, γ = 60.00°
Element x y z (fractional)
Au (0.750, 0.750, 0.750)
Na (0.500, 0.500, 0.500)
Ba (0.250, 0.250, 0.250)
Hf (0.000, 0.000, 0.000)

Output
Final energy (eV per formula unit): -15.11
SG: F-43m
Crystal system: cubic
Calculated density (Mg/m³): 9.06

> Number 2 is which compound?

BaNaHfAu